[1]
Crystalline Tb2PrSm at its relaxed geometry, computed with PBE-GGA.

```
data_Tb2PrSm
_space_group_name_H-M_alt 'P 1'
_space_group_IT_number 1
_space_group_name_Hall 'P 1'
_cell_length_a 3.633
_cell_length_b 3.633
_cell_length_c 11.664
_cell_angle_alpha 90.00
_cell_angle_beta 90.00
_cell_angle_gamma 60.00
loop_
_atom_site_label
_atom_site_fract_x
_atom_site_fract_y
_atom_site_fract_z
Sm1 0.000 0.000 0.500
Tb1 0.333 0.333 0.748
Tb2 0.667 0.667 0.252
Pr1 0.000 0.000 0.000
```

Summary:
- Energy above the most stable polymorph in this dataset: 0.0 meV per atom
- D(E_F): 4.77 states/eV/cell
- Magnetization: 0.000 μB per cell
- Formation enthalpy at 0 K: -0.0035 eV/atom
- E: -4.69 eV/atom
- Symmetry: P-3m1 (164)

[2]
Crystalline BaAgP at its relaxed geometry, computed with PBE-GGA.

```
data_BaAgP
_space_group_name_H-M_alt 'P 1'
_space_group_IT_number 1
_space_group_name_Hall 'P 1'
_cell_length_a 6.374
_cell_length_b 6.504
_cell_length_c 6.504
_cell_angle_alpha 91.94
_cell_angle_beta 136.83
_cell_angle_gamma 104.87
loop_
_atom_site_label
_atom_site_fract_x
_atom_site_fract_y
_atom_site_fract_z
Ag1 0.046 0.865 0.629
Ba1 0.395 0.465 0.878
P1 0.119 0.390 0.177
Ba2 0.395 0.965 0.378
Ag2 0.744 0.064 0.128
P2 0.671 0.539 0.580
```

Summary:
- D(E_F): 0.04 states/eV/cell
- Magnetization: 0.000 μB per cell
- Formation enthalpy at 0 K: -0.5442 eV/atom
- E: -3.94 eV/atom
- Symmetry: C2/m (12)

[3]
Crystalline PmTc2ClO6 at its relaxed geometry, computed with PBE-GGA.

```
data_PmTc2ClO6
_space_group_name_H-M_alt 'P 1'
_space_group_IT_number 1
_space_group_name_Hall 'P 1'
_cell_length_a 7.151
_cell_length_b 7.151
_cell_length_c 7.126
_cell_angle_alpha 101.45
_cell_angle_beta 101.45
_cell_angle_gamma 99.40
loop_
_atom_site_label
_atom_site_fract_x
_atom_site_fract_y
_atom_site_fract_z
O1 0.605 0.355 0.915
Tc1 0.498 0.872 0.315
O2 0.300 0.223 0.594
Tc2 0.872 0.498 0.815
Tc3 0.128 0.502 0.185
Cl1 0.859 0.141 0.750
Tc4 0.502 0.128 0.685
O3 0.395 0.645 0.085
O4 0.464 0.921 0.777
O5 0.536 0.079 0.223
O6 0.645 0.395 0.585
O7 0.921 0.464 0.277
Cl2 0.141 0.859 0.250
O8 0.223 0.300 0.094
Pm1 0.573 0.427 0.250
O9 0.777 0.700 0.906
Pm2 0.427 0.573 0.750
O10 0.079 0.536 0.723
O11 0.700 0.777 0.406
O12 0.355 0.605 0.415
```

Summary:
- D(E_F): 5.62 states/eV/cell
- Magnetization: 0.000 μB per cell
- E: -7.34 eV/atom
- Symmetry: C2/c (15)
- Formation energy without anion corrections: -16.32 eV/f.u.

[4]
Crystalline Cd3In8Pb3 at its relaxed geometry, computed with PBE-GGA.

```
data_Cd3In8Pb3
_space_group_name_H-M_alt 'P 1'
_space_group_IT_number 1
_space_group_name_Hall 'P 1'
_cell_length_a 5.226
_cell_length_b 9.395
_cell_length_c 9.395
_cell_angle_alpha 71.87
_cell_angle_beta 68.13
_cell_angle_gamma 68.13
loop_
_atom_site_label
_atom_site_fract_x
_atom_site_fract_y
_atom_site_fract_z
Pb1 0.779 0.235 0.235
In1 0.659 0.639 0.058
In2 0.341 0.942 0.361
Cd1 0.000 0.864 0.136
Pb2 0.221 0.765 0.765
Cd2 0.500 0.000 0.000
Cd3 0.000 0.136 0.864
In3 0.341 0.361 0.942
Pb3 0.500 0.500 0.500
In4 0.133 0.236 0.510
In5 0.867 0.490 0.764
In6 0.133 0.510 0.236
In7 0.867 0.764 0.490
In8 0.659 0.058 0.639
```

Summary:
- D(E_F): 5.65 states/eV/cell
- Magnetization: 0.000 μB per cell
- Formation enthalpy at 0 K: 0.0494 eV/atom
- E: -2.51 eV/atom
- Symmetry: C2/m (12)

[5]
Crystalline PaBr2Cl2 at its relaxed geometry, computed with PBE-GGA.

```
data_PaBr2Cl2
_space_group_name_H-M_alt 'P 1'
_space_group_IT_number 1
_space_group_name_Hall 'P 1'
_cell_length_a 4.170
_cell_length_b 6.929
_cell_length_c 13.789
_cell_angle_alpha 90.00
_cell_angle_beta 90.00
_cell_angle_gamma 90.00
loop_
_atom_site_label
_atom_site_fract_x
_atom_site_fract_y
_atom_site_fract_z
Cl1 0.500 0.172 0.096
Cl2 0.500 0.828 0.904
Br1 0.000 0.711 0.132
Br2 0.000 0.789 0.632
Br3 0.000 0.289 0.868
Pa1 0.000 0.500 0.500
Pa2 0.000 0.000 0.000
Br4 0.000 0.211 0.368
Cl3 0.500 0.672 0.404
Cl4 0.500 0.328 0.596
```

Summary:
- D(E_F): 9.73 states/eV/cell
- Magnetization: 2.000 μB per cell
- E: -4.93 eV/atom
- Symmetry: Pbam (55)
- Formation energy without anion corrections: -8.10 eV/f.u.

[6]
Crystalline AlCr2H at its relaxed geometry, computed with PBE-GGA.

```
data_AlCr2H
_space_group_name_H-M_alt 'P 1'
_space_group_IT_number 1
_space_group_name_Hall 'P 1'
_cell_length_a 4.175
_cell_length_b 4.175
_cell_length_c 4.175
_cell_angle_alpha 60.00
_cell_angle_beta 60.00
_cell_angle_gamma 60.00
loop_
_atom_site_label
_atom_site_fract_x
_atom_site_fract_y
_atom_site_fract_z
Cr1 0.750 0.750 0.750
Cr2 0.250 0.250 0.250
H1 0.000 0.000 0.000
Al1 0.500 0.500 0.500
```

Summary:
- Energy above the most stable polymorph in this dataset: 452.0 meV per atom
- D(E_F): 4.12 states/eV/cell
- Magnetization: 5.878 μB per cell
- E: -5.78 eV/atom
- Symmetry: Fm-3m (225)

[7]
Crystalline Pr2MgAl3Hg4 at its relaxed geometry, computed with PBE-GGA.

```
data_Pr2MgAl3Hg4
_space_group_name_H-M_alt 'P 1'
_space_group_IT_number 1
_space_group_name_Hall 'P 1'
_cell_length_a 4.529
_cell_length_b 4.529
_cell_length_c 11.302
_cell_angle_alpha 90.00
_cell_angle_beta 90.00
_cell_angle_gamma 90.00
loop_
_atom_site_label
_atom_site_fract_x
_atom_site_fract_y
_atom_site_fract_z
Hg1 0.000 0.500 0.361
Pr1 0.000 0.500 0.760
Pr2 0.500 0.000 0.240
Al1 0.000 0.500 0.135
Hg2 0.000 0.000 0.000
Al2 0.000 0.000 0.500
Mg1 0.500 0.500 0.500
Al3 0.500 0.000 0.865
Hg3 0.500 0.500 0.000
Hg4 0.500 0.000 0.639
```

Summary:
- D(E_F): 4.94 states/eV/cell
- Magnetization: 0.000 μB per cell
- Formation enthalpy at 0 K: -0.3538 eV/atom
- E: -2.71 eV/atom
- Symmetry: P-4m2 (115)

[8]
Crystalline CaTlTe2SeF at its relaxed geometry, computed with PBE-GGA.

```
data_CaTlTe2SeF
_space_group_name_H-M_alt 'P 1'
_space_group_IT_number 1
_space_group_name_Hall 'P 1'
_cell_length_a 4.222
_cell_length_b 6.622
_cell_length_c 6.623
_cell_angle_alpha 83.81
_cell_angle_beta 77.59
_cell_angle_gamma 77.58
loop_
_atom_site_label
_atom_site_fract_x
_atom_site_fract_y
_atom_site_fract_z
Se1 0.057 0.297 0.016
Ca1 0.583 0.010 0.729
Te1 0.656 0.043 0.220
F1 0.126 0.943 0.662
Te2 0.656 0.501 0.763
Tl1 0.256 0.600 0.320
```

Summary:
- Energy above the most stable polymorph in this dataset: 50.4 meV per atom
- Magnetization: 0.000 μB per cell
- E: -3.90 eV/atom
- Symmetry: Cm (8)
- Formation energy without anion corrections: -7.37 eV/f.u.

Which value of E does entry 5 give?
-4.93 eV/atom

Which value of E does entry 2 give?
-3.94 eV/atom

Look up the E of the seventh one.
-2.71 eV/atom